ScInP2, PBEsol geometry, DFT SCAN; total magnetization = 0.00 μB/atom; formation enthalpy at 0 K = -0.54 eV/atom; V = 75.5 Å³/cell; space group = Imm2
1.0
-1.807 1.825 5.721
1.807 -1.825 5.721
1.807 1.825 -5.721
Sc In P
1 1 2
Cartesian
0.000 0.000 0.000
1.807 0.000 2.842
0.000 0.000 6.394
0.000 1.825 3.806